DFT (PBE) results for a relaxed LaNdTe crystal.

## Properties
**DOS at the Fermi energy**: 28.687 states/eV/cell
**Formation energy from raw total energies**: -2.52 eV/f.u.
**V**: 825.9 Å³/cell
**Magnetization**: 0.00 μB/cell
**Offset from the most stable computed form**: 0.0 meV per atom

Cell lengths 17.424, 4.170, 11.389 Å; angles 90.00, 93.59, 90.00 degrees
Space group C2/m (No. 12)
Inequivalent atoms, fractional coordinates:
La  0.030  0.000  0.357 x4
La  0.108  0.500  0.853 x4
Nd  0.195  0.000  0.085 x4
Nd  0.250  0.000  0.650 x4
Te  0.078  0.500  0.164 x4
Te  0.114  0.500  0.554 x4

---

DFT (PBE) results for a relaxed LaNd6Te8 crystal.

## Properties
**DOS at the Fermi energy**: 31.066 states/eV/cell
**Formation energy from raw total energies**: -22.12 eV/f.u.
**V**: 2047.1 Å³/cell
**Magnetization**: 0.00 μB/cell

Cell lengths 12.697, 12.697, 12.697 Å; angles 90.00, 90.00, 90.00 degrees
Space group Fm-3m (No. 225)
Inequivalent atoms, fractional coordinates:
La  0.000  0.000  0.000 x4
Nd  0.000  0.250  0.250 x24
Te  0.000  0.000  0.258 x24
Te  0.250  0.250  0.250 x8

---

DFT (PBE) results for a relaxed LaNd2Te3 crystal.

## Properties
**DOS at the Fermi energy**: 6.974 states/eV/cell
**Formation energy from raw total energies**: -8.89 eV/f.u.
**V**: 393.6 Å³/cell
**Magnetization**: 0.00 μB/cell

Cell lengths 4.544, 6.392, 13.551 Å; angles 90.00, 90.00, 90.00 degrees
Space group Immm (No. 71)
Inequivalent atoms, fractional coordinates:
La  0.000  0.000  0.000 x2
Nd  0.000  0.000  0.333 x4
Te  0.000  0.500  0.000 x2
Te  0.000  0.500  0.331 x4

---

DFT (PBE) results for a relaxed LaNdTe crystal.

## Properties
**DOS at the Fermi energy**: 4.399 states/eV/cell
**Formation energy from raw total energies**: -1.73 eV/f.u.
**V**: 101.7 Å³/cell
**Magnetization**: 0.00 μB/cell
**Offset from the most stable computed form**: 263.9 meV per atom

Cell lengths 5.3554, 5.3554, 4.0959 Å; angles 90.00, 90.00, 120.00 degrees
Space group P3m1 (No. 156)
Inequivalent atoms, fractional coordinates:
La  0.0000  0.0000  0.0000 x1
Nd  0.3333  0.6667  0.4906 x1
Te  0.6667  0.3333  0.3931 x1

---

DFT (PBE) results for a relaxed La2Nd3Te8 crystal.

## Properties
**DOS at the Fermi energy**: 14.936 states/eV/cell
**Formation energy from raw total energies**: -17.41 eV/f.u.
**V**: 1058.3 Å³/cell
**Magnetization**: 0.00 μB/cell

Cell lengths 15.905, 9.078, 7.751 Å; angles 90.00, 108.99, 90.00 degrees
Space group C2/m (No. 12)
Inequivalent atoms, fractional coordinates:
La  0.246  0.000  0.163 x4
Nd  0.000  0.240  0.500 x4
Nd  0.000  0.500  0.000 x2
Te  0.119  0.500  0.420 x4
Te  0.121  0.257  0.914 x8
Te  0.122  0.000  0.416 x4

---

DFT (PBE) results for a relaxed LaNd4Te5 crystal.

## Properties
**DOS at the Fermi energy**: 12.338 states/eV/cell
**Formation energy from raw total energies**: -14.56 eV/f.u.
**V**: 651.3 Å³/cell
**Magnetization**: 0.00 μB/cell

Cell lengths 4.514, 6.377, 22.625 Å; angles 90.00, 90.00, 90.00 degrees
Space group Immm (No. 71)
Inequivalent atoms, fractional coordinates:
La  0.000  0.000  0.000 x2
Nd  0.000  0.000  0.201 x4
Nd  0.000  0.000  0.400 x4
Te  0.000  0.500  0.000 x2
Te  0.000  0.500  0.200 x4
Te  0.000  0.500  0.398 x4

---

DFT (PBE) results for a relaxed La3NdTe4 crystal.

## Properties
**DOS at the Fermi energy**: 9.977 states/eV/cell
**Formation energy from raw total energies**: -12.45 eV/f.u.
**V**: 536.6 Å³/cell
**Magnetization**: 0.00 μB/cell
**Offset from the most stable computed form**: 0.0 meV per atom

Cell lengths 7.923, 9.041, 7.930 Å; angles 90.00, 109.15, 90.00 degrees
Space group P2/c (No. 13)
Inequivalent atoms, fractional coordinates:
La  0.000  0.125  0.250 x2
La  0.000  0.374  0.750 x2
La  0.500  0.374  0.250 x2
Nd  0.500  0.125  0.750 x2
Te  0.252  0.374  0.502 x4
Te  0.253  0.123  0.000 x4

---

DFT (PBE) results for a relaxed LaNd3Te6 crystal.

## Properties
**DOS at the Fermi energy**: 0.008 states/eV/cell
**Formation energy from raw total energies**: -14.71 eV/f.u.
**V**: 719.9 Å³/cell
**Magnetization**: 0.00 μB/cell
**Offset from the most stable computed form**: 0.0 meV per atom

Cell lengths 12.798, 4.520, 13.178 Å; angles 90.00, 109.20, 90.00 degrees
Space group P2_1/m (No. 11)
Inequivalent atoms, fractional coordinates:
La  0.046  0.250  0.194 x2
Nd  0.156  0.250  0.582 x2
Nd  0.318  0.750  0.999 x2
Nd  0.433  0.250  0.333 x2
Te  0.086  0.750  0.400 x2
Te  0.114  0.250  0.966 x2
Te  0.192  0.750  0.751 x2
Te  0.254  0.750  0.222 x2
Te  0.393  0.250  0.561 x2
Te  0.486  0.250  0.118 x2